[1]
First-principles (PBE) data for HfTlNiAg after structural relaxation, as listed in OQMD. Values from VASP.

Structure (Quantum ESPRESSO input):
```
&SYSTEM
  ibrav = 0, nat = 4, ntyp = 4
/
ATOMIC_SPECIES
Hf 178.49 Hf.upf
Ag 107.87 Ag.upf
Ni 58.69 Ni.upf
Tl 204.38 Tl.upf
ATOMIC_POSITIONS crystal
Hf 0.250 0.250 0.250
Ag 0.500 0.500 0.500
Ni 0.750 0.750 0.750
Tl 0.000 0.000 0.000
CELL_PARAMETERS angstrom
-0.247 -3.285 3.316
0.894 1.103 4.454
-3.473 0.092 3.127
```

Space-group type   F-43m, No. 216
E   -5.015 eV per atom


[2]
First-principles (PBE) data for HfCuHgBi after structural relaxation, as listed in OQMD. Values from VASP.

Structure (Quantum ESPRESSO input):
```
&SYSTEM
  ibrav = 0, nat = 4, ntyp = 4
/
ATOMIC_SPECIES
Cu 63.55 Cu.upf
Bi 208.98 Bi.upf
Hg 200.59 Hg.upf
Hf 178.49 Hf.upf
ATOMIC_POSITIONS crystal
Cu 0.750 0.750 0.750
Bi 0.000 0.000 0.000
Hg 0.500 0.500 0.500
Hf 0.250 0.250 0.250
CELL_PARAMETERS angstrom
0.000 3.508 3.508
3.508 0.000 3.508
3.508 3.508 0.000
```

Energy relative to the lowest polymorph listed for this composition   0 meV per atom
Space-group type   F-43m, No. 216


[3]
First-principles (PBE) data for Ho5Tl4 after structural relaxation, as listed in OQMD. Values from VASP.

Structure (Quantum ESPRESSO input):
```
&SYSTEM
  ibrav = 0, nat = 18, ntyp = 2
/
ATOMIC_SPECIES
Ho 164.93 Ho.upf
Tl 204.38 Tl.upf
ATOMIC_POSITIONS crystal
Ho 0.000 0.289 0.750
Tl 0.000 0.000 0.000
Ho 0.000 0.711 0.250
Tl 0.626 0.626 0.250
Ho 0.289 0.000 0.750
Tl 0.000 0.626 0.750
Tl 0.000 0.000 0.500
Ho 0.667 0.333 0.000
Tl 0.626 0.000 0.750
Ho 0.711 0.711 0.750
Tl 0.000 0.374 0.250
Tl 0.374 0.000 0.250
Ho 0.289 0.289 0.250
Ho 0.333 0.667 0.500
Ho 0.333 0.667 0.000
Ho 0.667 0.333 0.500
Ho 0.711 0.000 0.250
Tl 0.374 0.374 0.750
CELL_PARAMETERS angstrom
9.256 0.000 0.000
-4.628 8.016 0.000
0.000 0.000 6.663
```

Space-group type   P6_3/mcm, No. 193
E   -3.925 eV per atom


[4]
First-principles (PBE) data for BaYMg4Pd2 after structural relaxation, as listed in OQMD. Values from VASP.

Structure (Quantum ESPRESSO input):
```
&SYSTEM
  ibrav = 0, nat = 8, ntyp = 4
/
ATOMIC_SPECIES
Mg 24.30 Mg.upf
Ba 137.33 Ba.upf
Pd 106.42 Pd.upf
Y 88.91 Y.upf
ATOMIC_POSITIONS crystal
Mg 0.778 0.640 0.640
Ba 0.500 0.864 0.864
Pd 0.500 0.114 0.114
Mg 0.229 0.246 0.246
Mg 0.222 0.640 0.640
Y 0.500 0.525 0.525
Pd 0.500 0.726 0.726
Mg 0.771 0.246 0.246
CELL_PARAMETERS angstrom
6.614 0.000 0.000
0.000 1.884 11.485
0.000 -1.884 11.485
```

Space-group type   Amm2, No. 38
E   -3.095 eV per atom


[5]
First-principles (PBE) data for MgZnSO after structural relaxation, as listed in OQMD. Values from VASP.

Structure (Quantum ESPRESSO input):
```
&SYSTEM
  ibrav = 0, nat = 8, ntyp = 4
/
ATOMIC_SPECIES
Mg 24.30 Mg.upf
Zn 65.41 Zn.upf
O 16.00 O.upf
S 32.06 S.upf
ATOMIC_POSITIONS crystal
Mg 0.250 0.250 0.848
Zn 0.250 0.250 0.430
O 0.750 0.250 0.500
S 0.750 0.750 0.857
S 0.250 0.250 0.143
Zn 0.750 0.750 0.570
Mg 0.750 0.750 0.152
O 0.250 0.750 0.500
CELL_PARAMETERS angstrom
-2.353 0.646 -2.945
-2.946 -1.288 2.071
-1.431 7.903 2.878
```

Energy relative to the lowest polymorph listed for this composition   462 meV per atom
Space-group type   P4/nmm, No. 129


[6]
First-principles (PBE) data for Dy4Er3Ni2Se2 after structural relaxation, as listed in OQMD. Values from VASP.

Structure (Quantum ESPRESSO input):
```
&SYSTEM
  ibrav = 0, nat = 11, ntyp = 4
/
ATOMIC_SPECIES
Dy 162.50 Dy.upf
Ni 58.69 Ni.upf
Er 167.26 Er.upf
Se 78.96 Se.upf
ATOMIC_POSITIONS crystal
Dy 0.389 0.264 0.125
Dy 0.776 0.415 0.360
Ni 0.993 0.754 0.239
Ni 0.515 0.754 0.761
Dy 0.140 0.264 0.875
Er 0.375 0.060 0.315
Dy 0.055 0.415 0.640
Er 0.674 0.674 0.000
Se 0.421 0.921 0.500
Se 0.014 0.014 0.000
Er 0.745 0.060 0.685
CELL_PARAMETERS angstrom
-1.893 7.547 4.659
1.893 -7.547 4.659
1.893 7.547 -4.659
```

Space-group type   Imm2, No. 44
E   -5.376 eV per atom


[7]
First-principles (PBE) data for AgPbSeO after structural relaxation, as listed in OQMD. Values from VASP.

Structure (Quantum ESPRESSO input):
```
&SYSTEM
  ibrav = 0, nat = 16, ntyp = 4
/
ATOMIC_SPECIES
Ag 107.87 Ag.upf
O 16.00 O.upf
Se 78.96 Se.upf
Pb 207.20 Pb.upf
ATOMIC_POSITIONS crystal
Ag 0.905 0.686 0.536
Ag 0.095 0.186 0.964
O 0.613 0.080 0.287
Se 0.405 0.037 0.808
Pb 0.308 0.329 0.447
O 0.387 0.580 0.213
Ag 0.595 0.314 0.036
Se 0.905 0.463 0.192
Se 0.095 0.963 0.308
Se 0.595 0.537 0.692
Ag 0.405 0.814 0.464
O 0.887 0.920 0.787
Pb 0.692 0.829 0.053
O 0.113 0.420 0.713
Pb 0.808 0.171 0.553
Pb 0.192 0.671 0.947
CELL_PARAMETERS angstrom
-4.688 -2.074 -5.457
-4.359 -2.622 4.742
-2.879 5.487 0.388
```

Energy relative to the lowest polymorph listed for this composition   66 meV per atom
Space-group type   P2_12_12_1, No. 19


[8]
First-principles (PBE) data for Sm4CBr2Cl3 after structural relaxation, as listed in OQMD. Values from VASP.

Structure (Quantum ESPRESSO input):
```
&SYSTEM
  ibrav = 0, nat = 10, ntyp = 4
/
ATOMIC_SPECIES
Sm 150.36 Sm.upf
Cl 35.45 Cl.upf
C 12.01 C.upf
Br 79.90 Br.upf
ATOMIC_POSITIONS crystal
Sm 0.358 0.358 0.916
Cl 0.838 0.838 0.657
Cl 0.500 0.500 0.500
C 0.500 0.500 0.000
Sm 0.001 0.001 0.214
Sm 0.999 0.999 0.786
Br 0.170 0.170 0.827
Cl 0.162 0.162 0.343
Sm 0.642 0.642 0.084
Br 0.830 0.830 0.173
CELL_PARAMETERS angstrom
9.026 -1.924 0.000
9.026 1.924 0.000
-2.062 0.000 7.741
```

Energy relative to the lowest polymorph listed for this composition   0 meV per atom
Space-group type   C2/m, No. 12


[9]
First-principles (PBE) data for ErTmAl4Co2 after structural relaxation, as listed in OQMD. Values from VASP.

Structure (Quantum ESPRESSO input):
```
&SYSTEM
  ibrav = 0, nat = 8, ntyp = 4
/
ATOMIC_SPECIES
Co 58.93 Co.upf
Tm 168.93 Tm.upf
Al 26.98 Al.upf
Er 167.26 Er.upf
ATOMIC_POSITIONS crystal
Co 0.500 0.285 0.285
Co 0.000 0.715 0.715
Tm 0.500 0.562 0.562
Al 0.805 0.157 0.157
Al 0.694 0.843 0.843
Al 0.306 0.843 0.843
Al 0.195 0.157 0.157
Er 0.000 0.438 0.438
CELL_PARAMETERS angstrom
-2.270 5.894 -2.983
2.096 2.821 3.979
4.694 2.290 0.952
```

Space-group type   Amm2, No. 38
E   -5.327 eV per atom


[10]
First-principles (PBE) data for DyHoIn4Pt2 after structural relaxation, as listed in OQMD. Values from VASP.

Structure (Quantum ESPRESSO input):
```
&SYSTEM
  ibrav = 0, nat = 8, ntyp = 4
/
ATOMIC_SPECIES
Dy 162.50 Dy.upf
Ho 164.93 Ho.upf
Pt 195.08 Pt.upf
In 114.82 In.upf
ATOMIC_POSITIONS crystal
Dy 0.500 0.572 0.572
Ho 0.000 0.428 0.428
Pt 0.000 0.717 0.717
Pt 0.500 0.282 0.282
In 0.200 0.138 0.138
In 0.300 0.863 0.863
In 0.800 0.138 0.138
In 0.700 0.863 0.863
CELL_PARAMETERS angstrom
7.762 0.000 0.000
0.000 2.192 5.203
0.000 -2.192 5.203
```

Space-group type   Amm2, No. 38
E   -4.764 eV per atom


[11]
First-principles (PBE) data for LiHoAsO after structural relaxation, as listed in OQMD. Values from VASP.

Structure (Quantum ESPRESSO input):
```
&SYSTEM
  ibrav = 0, nat = 8, ntyp = 4
/
ATOMIC_SPECIES
Li 6.94 Li.upf
As 74.92 As.upf
O 16.00 O.upf
Ho 164.93 Ho.upf
ATOMIC_POSITIONS crystal
Li 0.000 0.000 0.500
As 0.500 0.000 0.688
O 0.500 0.500 0.000
As 0.000 0.500 0.312
Ho 0.500 0.000 0.117
Ho 0.000 0.500 0.883
Li 0.500 0.500 0.500
O 0.000 0.000 0.000
CELL_PARAMETERS angstrom
-1.452 -1.988 -2.850
0.745 -3.195 1.849
-8.803 0.387 4.214
```

Energy relative to the lowest polymorph listed for this composition   0 meV per atom
Space-group type   P4/nmm, No. 129


[12]
First-principles (PBE) data for BaLiHoTe3 after structural relaxation, as listed in OQMD. Values from VASP.

Structure (Quantum ESPRESSO input):
```
&SYSTEM
  ibrav = 0, nat = 24, ntyp = 4
/
ATOMIC_SPECIES
Ho 164.93 Ho.upf
Te 127.60 Te.upf
Ba 137.33 Ba.upf
Li 6.94 Li.upf
ATOMIC_POSITIONS crystal
Ho 0.497 0.250 0.750
Te 0.253 0.750 0.323
Te 0.553 0.750 0.886
Ho 0.503 0.750 0.250
Te 0.558 0.250 0.386
Ba 0.252 0.750 0.000
Li 0.253 0.250 0.221
Te 0.753 0.750 0.177
Ba 0.748 0.250 0.000
Te 0.053 0.750 0.614
Te 0.442 0.750 0.614
Te 0.947 0.250 0.386
Li 0.247 0.750 0.721
Te 0.747 0.250 0.677
Ba 0.248 0.250 0.500
Te 0.447 0.250 0.114
Li 0.753 0.250 0.279
Te 0.058 0.250 0.114
Ba 0.752 0.750 0.500
Te 0.247 0.250 0.823
Ho 0.997 0.250 0.750
Li 0.747 0.750 0.779
Ho 0.003 0.750 0.250
Te 0.942 0.750 0.886
CELL_PARAMETERS angstrom
-2.036 7.745 8.166
0.579 -3.186 3.166
14.628 3.235 0.579
```

Energy relative to the lowest polymorph listed for this composition   0 meV per atom
Space-group type   Pnma, No. 62


[13]
First-principles (PBE) data for Cu after structural relaxation, as listed in OQMD. Values from VASP.

Structure (Quantum ESPRESSO input):
```
&SYSTEM
  ibrav = 0, nat = 8, ntyp = 1
/
ATOMIC_SPECIES
Cu 63.55 Cu.upf
ATOMIC_POSITIONS crystal
Cu 0.250 0.000 0.500
Cu 0.750 0.000 0.500
Cu 0.000 0.000 0.000
Cu 0.000 0.500 0.750
Cu 0.000 0.500 0.250
Cu 0.500 0.250 0.000
Cu 0.500 0.500 0.500
Cu 0.500 0.750 0.000
CELL_PARAMETERS angstrom
4.569 0.000 0.000
0.000 4.569 0.000
0.000 0.000 4.569
```

E_form   105 meV per atom
Energy relative to the lowest polymorph listed for this composition   105 meV per atom
Space-group type   Pm-3n, No. 223


[14]
First-principles (PBE) data for NaCuH3 after structural relaxation, as listed in OQMD. Values from VASP.

Structure (Quantum ESPRESSO input):
```
&SYSTEM
  ibrav = 0, nat = 10, ntyp = 3
/
ATOMIC_SPECIES
Cu 63.55 Cu.upf
H 1.01 H.upf
Na 22.99 Na.upf
ATOMIC_POSITIONS crystal
Cu 0.000 0.000 0.500
H 0.845 0.845 0.246
H 0.690 0.155 0.748
H 0.155 0.690 0.748
H 0.155 0.155 0.754
Na 0.667 0.667 0.750
H 0.310 0.845 0.252
Cu 0.000 0.000 0.000
H 0.845 0.310 0.252
Na 0.333 0.333 0.250
CELL_PARAMETERS angstrom
0.171 0.645 -4.830
-4.123 0.654 -2.519
0.366 4.529 0.664
```

Energy relative to the lowest polymorph listed for this composition   99 meV per atom
Space-group type   C2/m, No. 12


[15]
First-principles (PBE) data for LiGaFeRe after structural relaxation, as listed in OQMD. Values from VASP.

Structure (Quantum ESPRESSO input):
```
&SYSTEM
  ibrav = 0, nat = 4, ntyp = 4
/
ATOMIC_SPECIES
Fe 55.84 Fe.upf
Re 186.21 Re.upf
Li 6.94 Li.upf
Ga 69.72 Ga.upf
ATOMIC_POSITIONS crystal
Fe 0.750 0.750 0.750
Re 0.250 0.250 0.250
Li 0.500 0.500 0.500
Ga 0.000 0.000 0.000
CELL_PARAMETERS angstrom
-3.200 -2.253 1.538
-3.554 -0.387 -2.213
-0.999 -3.694 -1.743
```

Energy relative to the lowest polymorph listed for this composition   331 meV per atom
Space-group type   F-43m, No. 216


[16]
First-principles (PBE) data for RbSmGaTe3 after structural relaxation, as listed in OQMD. Values from VASP.

Structure (Quantum ESPRESSO input):
```
&SYSTEM
  ibrav = 0, nat = 12, ntyp = 4
/
ATOMIC_SPECIES
Te 127.60 Te.upf
Rb 85.47 Rb.upf
Ga 69.72 Ga.upf
Sm 150.36 Sm.upf
ATOMIC_POSITIONS crystal
Te 0.374 0.626 0.062
Te 0.063 0.937 0.250
Rb 0.749 0.251 0.250
Ga 0.524 0.476 0.750
Te 0.626 0.374 0.562
Te 0.374 0.626 0.438
Te 0.937 0.063 0.750
Ga 0.476 0.524 0.250
Sm 0.000 0.000 0.500
Te 0.626 0.374 0.938
Sm 0.000 0.000 0.000
Rb 0.251 0.749 0.750
CELL_PARAMETERS angstrom
-4.785 1.925 -6.443
4.785 -5.754 3.481
-9.509 -4.437 5.736
```

Energy relative to the lowest polymorph listed for this composition   0 meV per atom
Space-group type   Cmcm, No. 63


[17]
First-principles (PBE) data for Cu3Ag after structural relaxation, as listed in OQMD. Values from VASP.

Structure (Quantum ESPRESSO input):
```
&SYSTEM
  ibrav = 0, nat = 8, ntyp = 2
/
ATOMIC_SPECIES
Cu 63.55 Cu.upf
Ag 107.87 Ag.upf
ATOMIC_POSITIONS crystal
Cu 0.320 0.250 0.955
Ag 0.794 0.250 0.426
Cu 0.948 0.750 0.827
Cu 0.414 0.750 0.299
Cu 0.586 0.250 0.701
Cu 0.052 0.250 0.173
Cu 0.680 0.750 0.045
Ag 0.206 0.750 0.574
CELL_PARAMETERS angstrom
-4.759 -4.359 -0.551
1.788 -2.002 0.396
0.784 1.927 6.205
```

E_form   78 meV per atom
Space-group type   P2_1/m, No. 11


[18]
First-principles (PBE) data for ZrTc2 after structural relaxation, as listed in OQMD. Values from VASP.

Structure (Quantum ESPRESSO input):
```
&SYSTEM
  ibrav = 0, nat = 12, ntyp = 2
/
ATOMIC_SPECIES
Zr 91.22 Zr.upf
Tc 98.00 Tc.upf
ATOMIC_POSITIONS crystal
Zr 0.333 0.667 0.063
Zr 0.667 0.333 0.563
Tc 0.000 0.000 0.000
Tc 0.657 0.828 0.750
Tc 0.172 0.828 0.750
Zr 0.333 0.667 0.437
Tc 0.343 0.172 0.250
Zr 0.667 0.333 0.937
Tc 0.828 0.172 0.250
Tc 0.000 0.000 0.500
Tc 0.828 0.657 0.250
Tc 0.172 0.343 0.750
CELL_PARAMETERS angstrom
-0.313 -0.323 5.214
-2.669 -3.361 -2.995
6.797 -5.460 0.070
```

E_form   -313 meV per atom
Energy relative to the lowest polymorph listed for this composition   0 meV per atom
Space-group type   P6_3/mmc, No. 194


[19]
First-principles (PBE) data for LaMgAuSe2S after structural relaxation, as listed in OQMD. Values from VASP.

Structure (Quantum ESPRESSO input):
```
&SYSTEM
  ibrav = 0, nat = 12, ntyp = 5
/
ATOMIC_SPECIES
Se 78.96 Se.upf
Mg 24.30 Mg.upf
S 32.06 S.upf
La 138.91 La.upf
Au 196.97 Au.upf
ATOMIC_POSITIONS crystal
Se 0.841 0.159 0.919
Mg 0.255 0.745 0.750
Se 0.841 0.159 0.581
S 0.392 0.608 0.250
La 0.500 0.500 0.500
La 0.500 0.500 0.000
Se 0.159 0.841 0.419
Au 0.981 0.019 0.750
S 0.608 0.392 0.750
Se 0.159 0.841 0.081
Mg 0.745 0.255 0.250
Au 0.019 0.981 0.250
CELL_PARAMETERS angstrom
1.982 -6.568 0.000
1.982 6.568 0.000
0.000 0.000 10.939
```

Space-group type   Cmcm, No. 63
E   -4.581 eV per atom


[20]
First-principles (PBE) data for HfTc2Sb after structural relaxation, as listed in OQMD. Values from VASP.

Structure (Quantum ESPRESSO input):
```
&SYSTEM
  ibrav = 0, nat = 4, ntyp = 3
/
ATOMIC_SPECIES
Tc 98.00 Tc.upf
Hf 178.49 Hf.upf
Sb 121.76 Sb.upf
ATOMIC_POSITIONS crystal
Tc 0.000 0.500 0.500
Hf 0.000 0.000 0.000
Tc 0.500 0.000 0.500
Sb 0.500 0.500 0.000
CELL_PARAMETERS angstrom
-1.843 -3.366 2.374
3.736 -0.272 2.515
-1.286 2.220 2.150
```

Space-group type   P4/mmm, No. 123
E   -8.996 eV per atom